! TaCrHg2, relaxed, DFT GGA-PBE; values from VASP
&SYSTEM
  ibrav = 0, nat = 4, ntyp = 3
/
ATOMIC_SPECIES
Cr 52.00 Cr.upf
Hg 200.59 Hg.upf
Ta 180.95 Ta.upf
ATOMIC_POSITIONS angstrom
Cr 0.0000 0.0000 0.0000
Hg 1.6718 1.6718 1.6718
Hg 5.0155 5.0155 5.0155
Ta 3.3437 3.3437 3.3437
CELL_PARAMETERS angstrom
0.0000 3.3437 3.3437
3.3437 0.0000 3.3437
3.3437 3.3437 0.0000
! Crystal system: cubic
! Excess energy over the best structure of this formula in the dataset, meV per atom: 218
! Volume, Å³/cell: 75
! ΔE_f, eV/atom: 0.61

! Ta2TiCrHg, relaxed, DFT GGA-PBE; values from VASP
&SYSTEM
  ibrav = 0, nat = 5, ntyp = 4
/
ATOMIC_SPECIES
Cr 52.00 Cr.upf
Ti 47.87 Ti.upf
Hg 200.59 Hg.upf
Ta 180.95 Ta.upf
ATOMIC_POSITIONS angstrom
Cr 0.0000 0.0000 0.0000
Ti -2.9737 0.0399 2.7549
Hg -2.3822 -0.6763 -0.3024
Ta 0.0753 -1.1375 1.9508
Ta -0.6667 1.8537 1.1066
CELL_PARAMETERS angstrom
-1.3334 3.7073 2.2132
-4.7644 -1.3526 -0.6049
0.1505 -2.2750 3.9016
! Crystal system: tetragonal
! Volume, Å³/cell: 102
! ΔE_f, eV/atom: 1.06

! TaZnCrHg2, relaxed, DFT GGA-PBE; values from VASP
&SYSTEM
  ibrav = 0, nat = 5, ntyp = 4
/
ATOMIC_SPECIES
Cr 52.00 Cr.upf
Zn 65.41 Zn.upf
Hg 200.59 Hg.upf
Ta 180.95 Ta.upf
ATOMIC_POSITIONS angstrom
Cr 0.0000 0.0000 0.0000
Zn 0.4021 -0.4520 4.2235
Hg 2.1528 0.2311 1.3818
Hg -1.3037 1.2579 1.8208
Ta -0.4470 -1.9410 1.0209
CELL_PARAMETERS angstrom
-2.6074 2.5158 3.6416
-0.8939 -3.8820 2.0419
4.3056 0.4621 2.7636
! Crystal system: tetragonal
! Volume, Å³/cell: 118
! ΔE_f, eV/atom: 1.04

! ZrTaCr2Hg, relaxed, DFT GGA-PBE; values from VASP
&SYSTEM
  ibrav = 0, nat = 5, ntyp = 4
/
ATOMIC_SPECIES
Cr 52.00 Cr.upf
Hg 200.59 Hg.upf
Zr 91.22 Zr.upf
Ta 180.95 Ta.upf
ATOMIC_POSITIONS angstrom
Cr 0.0000 0.0000 2.2831
Cr 2.2831 0.0000 0.0000
Hg 0.0000 2.6453 0.0000
Zr 2.2831 2.6453 2.2831
Ta 0.0000 0.0000 0.0000
CELL_PARAMETERS angstrom
4.5662 0.0000 0.0000
0.0000 5.2906 0.0000
0.0000 0.0000 4.5662
! Crystal system: tetragonal
! Volume, Å³/cell: 110
! ΔE_f, eV/atom: 1.27

! Cr2TcHg, relaxed, DFT GGA-PBE; values from VASP
&SYSTEM
  ibrav = 0, nat = 8, ntyp = 3
/
ATOMIC_SPECIES
Cr 52.00 Cr.upf
Hg 200.59 Hg.upf
Tc 98.00 Tc.upf
ATOMIC_POSITIONS angstrom
Cr -3.9766 2.7718 -2.1287
Cr -2.1378 0.1306 -5.3115
Cr -5.3583 1.4086 -5.7639
Cr -7.8849 3.4490 -8.9167
Hg 0.0000 0.0000 0.0000
Hg -5.9924 3.5036 -3.9727
Tc -2.5500 1.9247 -3.8201
Tc -3.6864 0.3764 -7.0877
CELL_PARAMETERS angstrom
-4.8560 5.0520 -0.7051
-0.2441 -1.2026 -6.9351
-4.5788 0.0305 -3.4202
! Crystal system: tetragonal
! Volume, Å³/cell: 139
! ΔE_f, eV/atom: 0.85

! CrTc2Hg, relaxed, DFT GGA-PBE; values from VASP
&SYSTEM
  ibrav = 0, nat = 8, ntyp = 3
/
ATOMIC_SPECIES
Cr 52.00 Cr.upf
Hg 200.59 Hg.upf
Tc 98.00 Tc.upf
ATOMIC_POSITIONS angstrom
Cr -1.8638 -1.9646 -0.2118
Cr -6.2562 0.1374 1.5260
Hg 0.0000 0.0000 0.0000
Hg -6.3158 0.4843 -1.1674
Tc -3.5177 -0.0604 -1.1271
Tc -3.7002 -0.6110 1.2005
Tc -8.1448 1.7941 0.5840
Tc -9.7814 0.1206 0.0598
CELL_PARAMETERS angstrom
-1.9234 -1.6176 -2.9051
-1.8041 -2.3115 2.4816
-8.8445 4.5508 0.7822
! Crystal system: tetragonal
! Volume, Å³/cell: 142
! ΔE_f, eV/atom: 0.87

! Cr2TcHg, relaxed, DFT GGA-PBE; values from VASP
&SYSTEM
  ibrav = 0, nat = 4, ntyp = 3
/
ATOMIC_SPECIES
Cr 52.00 Cr.upf
Hg 200.59 Hg.upf
Tc 98.00 Tc.upf
ATOMIC_POSITIONS angstrom
Cr -0.0015 -0.0005 0.0001
Cr -3.4149 -1.2712 0.2963
Hg -1.2038 -1.5801 1.9101
Tc -1.1731 -2.3192 -0.9071
CELL_PARAMETERS angstrom
-3.4471 -0.5327 3.1135
-3.3856 -2.0109 -2.5208
4.4558 -1.3557 0.4103
! Crystal system: tetragonal
! Volume, Å³/cell: 62
! ΔE_f, eV/atom: 0.53

! CrTc2Hg, relaxed, DFT GGA-PBE; values from VASP
&SYSTEM
  ibrav = 0, nat = 4, ntyp = 3
/
ATOMIC_SPECIES
Cr 52.00 Cr.upf
Hg 200.59 Hg.upf
Tc 98.00 Tc.upf
ATOMIC_POSITIONS angstrom
Cr 2.9675 -0.4885 1.2326
Hg 1.5893 1.8511 1.2323
Tc 7.6823 4.5257 0.0000
Tc 4.2539 2.5060 0.0000
CELL_PARAMETERS angstrom
5.3570 0.0043 0.0003
2.6005 4.6834 -0.0003
-3.4007 -3.3251 2.4649
! Crystal system: orthorhombic
! Volume, Å³/cell: 62
! ΔE_f, eV/atom: 0.48

! CrTc2Hg, relaxed, DFT GGA-PBE; values from VASP
&SYSTEM
  ibrav = 0, nat = 4, ntyp = 3
/
ATOMIC_SPECIES
Cr 52.00 Cr.upf
Hg 200.59 Hg.upf
Tc 98.00 Tc.upf
ATOMIC_POSITIONS angstrom
Cr 4.8602 1.5255 2.1165
Hg 7.2536 2.2768 3.5500
Tc 8.7427 2.7442 0.2965
Tc 2.3823 0.7478 1.1961
CELL_PARAMETERS angstrom
4.8146 -0.0038 0.0073
3.9488 2.7544 0.0073
0.8869 0.2784 4.7483
! Crystal system: monoclinic
! Volume, Å³/cell: 63
! ΔE_f, eV/atom: 0.48

! Cr2TcHg, relaxed, DFT GGA-PBE; values from VASP
&SYSTEM
  ibrav = 0, nat = 4, ntyp = 3
/
ATOMIC_SPECIES
Cr 52.00 Cr.upf
Hg 200.59 Hg.upf
Tc 98.00 Tc.upf
ATOMIC_POSITIONS angstrom
Cr 0.0000 0.0000 0.0000
Cr 2.2300 1.2875 0.9104
Hg 4.4601 2.5750 1.8208
Tc 6.6901 3.8625 2.7312
CELL_PARAMETERS angstrom
4.4601 0.0000 0.0000
2.2300 3.8625 0.0000
2.2300 1.2875 3.6416
! Crystal system: cubic
! Volume, Å³/cell: 63
! ΔE_f, eV/atom: 0.59

! Cr2TcHg, relaxed, DFT GGA-PBE; values from VASP
&SYSTEM
  ibrav = 0, nat = 4, ntyp = 3
/
ATOMIC_SPECIES
Cr 52.00 Cr.upf
Hg 200.59 Hg.upf
Tc 98.00 Tc.upf
ATOMIC_POSITIONS angstrom
Cr 25.0372 4.1074 2.4139
Cr 6.6507 1.0910 0.6412
Hg 12.6677 2.0782 1.2214
Tc 18.5994 3.0512 1.7932
CELL_PARAMETERS angstrom
8.7011 -0.0145 -0.0085
8.2404 2.7938 -0.0085
8.2404 1.3518 2.4450
! Crystal system: trigonal
! Volume, Å³/cell: 60
! ΔE_f, eV/atom: 0.48

! Cr2TcHg, relaxed, DFT GGA-PBE; values from VASP
&SYSTEM
  ibrav = 0, nat = 4, ntyp = 3
/
ATOMIC_SPECIES
Cr 52.00 Cr.upf
Hg 200.59 Hg.upf
Tc 98.00 Tc.upf
ATOMIC_POSITIONS angstrom
Cr -0.0932 0.0114 0.0605
Cr -2.1260 -1.0512 0.3662
Hg -3.6055 0.4406 2.3401
Tc -6.3277 -0.5377 3.0933
CELL_PARAMETERS angstrom
-1.4720 0.0168 -2.2712
0.3328 -2.4995 0.9833
-7.3421 0.8972 4.7653
! Crystal system: orthorhombic
! Volume, Å³/cell: 60
! ΔE_f, eV/atom: 0.47

! CrTc2Hg, relaxed, DFT GGA-PBE; values from VASP
&SYSTEM
  ibrav = 0, nat = 4, ntyp = 3
/
ATOMIC_SPECIES
Cr 52.00 Cr.upf
Hg 200.59 Hg.upf
Tc 98.00 Tc.upf
ATOMIC_POSITIONS angstrom
Cr 13.7223 2.1044 1.2340
Hg 20.3915 3.1272 1.8338
Tc 26.9197 4.1284 2.4209
Tc 6.7476 1.0348 0.6068
CELL_PARAMETERS angstrom
9.3199 0.0158 0.0092
8.8963 2.7778 0.0092
8.8963 1.3643 2.4197
! Crystal system: trigonal
! Volume, Å³/cell: 62
! ΔE_f, eV/atom: 0.45

! Cr2TcHg, relaxed, DFT GGA-PBE; values from VASP
&SYSTEM
  ibrav = 0, nat = 4, ntyp = 3
/
ATOMIC_SPECIES
Cr 52.00 Cr.upf
Hg 200.59 Hg.upf
Tc 98.00 Tc.upf
ATOMIC_POSITIONS angstrom
Cr 0.0000 0.0000 0.0000
Cr 0.8264 2.2496 1.3864
Hg 3.2227 2.2137 0.0000
Tc 2.3963 -0.0359 1.3864
CELL_PARAMETERS angstrom
4.7926 -0.0718 0.0000
1.6528 4.4992 0.0000
-3.2227 -2.2137 2.7727
! Crystal system: tetragonal
! Volume, Å³/cell: 60
! ΔE_f, eV/atom: 0.57

! CrTc2Hg, relaxed, DFT GGA-PBE; values from VASP
&SYSTEM
  ibrav = 0, nat = 4, ntyp = 3
/
ATOMIC_SPECIES
Cr 52.00 Cr.upf
Hg 200.59 Hg.upf
Tc 98.00 Tc.upf
ATOMIC_POSITIONS angstrom
Cr -2.4424 0.5728 1.2224
Hg -0.4871 2.5103 1.1174
Tc 0.0000 0.0000 0.0000
Tc -2.8100 2.8141 -0.3991
CELL_PARAMETERS angstrom
-0.8547 4.7517 -0.5040
-4.7653 0.8766 -0.2942
2.6904 -2.5451 3.1380
! Crystal system: tetragonal
! Volume, Å³/cell: 61
! ΔE_f, eV/atom: 0.58

! CrTcHg3, relaxed, DFT GGA-PBE; values from VASP
&SYSTEM
  ibrav = 0, nat = 5, ntyp = 3
/
ATOMIC_SPECIES
Cr 52.00 Cr.upf
Hg 200.59 Hg.upf
Tc 98.00 Tc.upf
ATOMIC_POSITIONS angstrom
Cr -0.8708 0.6811 4.3866
Hg 0.6102 -1.6481 1.9321
Hg 0.8954 1.9991 1.4225
Hg -2.3764 0.3301 1.0321
Tc 0.0000 0.0000 0.0000
CELL_PARAMETERS angstrom
-4.7529 0.6601 2.0641
1.2204 -3.2962 3.8642
1.7908 3.9982 2.8449
! Crystal system: cubic
! Excess energy over the best structure of this formula in the dataset, meV per atom: 0
! Volume, Å³/cell: 143
! ΔE_f, eV/atom: 1.16

! CrTc2Hg, relaxed, DFT GGA-PBE; values from VASP
&SYSTEM
  ibrav = 0, nat = 4, ntyp = 3
/
ATOMIC_SPECIES
Cr 52.00 Cr.upf
Hg 200.59 Hg.upf
Tc 98.00 Tc.upf
ATOMIC_POSITIONS angstrom
Cr -3.3370 -0.3659 0.9085
Hg -5.1052 -2.6581 1.2180
Tc -0.2687 -0.0295 0.0732
Tc -1.5603 -2.2694 0.2530
CELL_PARAMETERS angstrom
-0.3975 -1.9149 -2.2312
0.7350 -2.2446 1.7957
-7.0725 -0.7756 1.9254
! Crystal system: tetragonal
! Volume, Å³/cell: 65
! ΔE_f, eV/atom: 0.35

! Cr2TcHg, relaxed, DFT GGA-PBE; values from VASP
&SYSTEM
  ibrav = 0, nat = 4, ntyp = 3
/
ATOMIC_SPECIES
Cr 52.00 Cr.upf
Hg 200.59 Hg.upf
Tc 98.00 Tc.upf
ATOMIC_POSITIONS angstrom
Cr 7.4790 4.5402 0.0000
Cr 3.0434 -0.3105 1.2453
Hg 3.8346 2.3278 0.0000
Tc 1.2753 1.7644 1.2538
CELL_PARAMETERS angstrom
5.1751 -0.0066 -0.0085
2.3821 4.5942 0.0085
-3.2606 -3.1471 2.4992
! Crystal system: orthorhombic
! Volume, Å³/cell: 60
! ΔE_f, eV/atom: 0.50

! CrTc2Hg, relaxed, DFT GGA-PBE; values from VASP
&SYSTEM
  ibrav = 0, nat = 4, ntyp = 3
/
ATOMIC_SPECIES
Cr 52.00 Cr.upf
Hg 200.59 Hg.upf
Tc 98.00 Tc.upf
ATOMIC_POSITIONS angstrom
Cr -2.5527 -1.3299 -0.1283
Hg -7.6581 -3.9896 -0.3848
Tc -7.7362 -3.1346 -3.7746
Tc -5.1919 -2.6472 -0.4785
CELL_PARAMETERS angstrom
-4.5729 -0.3227 -1.6707
-3.2498 -2.7994 -2.3259
-2.3881 -2.1974 3.4835
! Crystal system: monoclinic
! Volume, Å³/cell: 62
! ΔE_f, eV/atom: 0.46

! CrTc2Hg, relaxed, DFT GGA-PBE; values from VASP
&SYSTEM
  ibrav = 0, nat = 4, ntyp = 3
/
ATOMIC_SPECIES
Cr 52.00 Cr.upf
Hg 200.59 Hg.upf
Tc 98.00 Tc.upf
ATOMIC_POSITIONS angstrom
Cr -1.8295 -0.2507 3.4301
Hg 0.4892 1.0204 2.5476
Tc 0.0000 0.0000 0.0000
Tc 0.1476 -1.7525 2.1628
CELL_PARAMETERS angstrom
-1.4880 2.5222 3.8150
-2.1711 -3.0236 3.0453
4.2959 -0.2308 -2.1499
! Crystal system: tetragonal
! Volume, Å³/cell: 62
! ΔE_f, eV/atom: 0.51

no.,calculated density (Mg/m³),raw total energy (eV/atom)
1,14.084,-4.91
2,10.795,-7.24
3,9.834,-3.63
4,8.682,-6.72
5,9.612,-6.63
6,10.516,-6.80
7,10.772,-6.95
8,12.051,-7.19
9,11.820,-7.19
10,10.656,-6.89
11,11.154,-7.00
12,11.200,-7.01
13,12.000,-7.22
14,11.120,-6.91
15,12.280,-7.08
16,8.758,-3.02
17,11.480,-7.31
18,11.229,-6.97
19,12.062,-7.21
20,12.020,-7.15